A plane-wave DFT calculation with SCAN was carried out for Ca2ScAgPt at its PBEsol-relaxed geometry.

It has space group P4/mmm (No. 123), with a = 5.502 Å, b = 5.502 Å, c = 4.681 Å, α = 90.00°, β = 90.00° and γ = 90.00°. Symmetry generates all atoms from Ca at (0.000, 0.500, 0.000), Sc at (0.000, 0.000, 0.000), Ag at (0.000, 0.000, 0.500) and Pt at (0.500, 0.500, 0.500).

The value obtained for the volume is 28.3 Å³/atom. As for the density of states at the Fermi level: 3.0 states/eV/cell. The calculation puts the magnetization at 2.115 μB/cell. The density is 5.0 g cm⁻³. The calculation puts the total DFT energy (no corrections) at -26.00 eV per atom. The value obtained for the energy relative to the elements is 1023 meV/atom.

A plane-wave DFT calculation with SCAN was carried out for FeSnNF2 at its PBEsol-relaxed geometry.

It has space group P4/mmm (No. 123), with a = 4.037 Å, b = 4.037 Å, c = 3.806 Å, α = 90.00°, β = 90.00° and γ = 90.00°. Symmetry generates all atoms from Fe at (0.000, 0.000, 0.000), Sn at (0.500, 0.500, 0.500), N at (0.000, 0.000, 0.500) and F at (0.000, 0.500, 0.000).

The raw formation energy is -0.922 eV per atom. The value obtained for the volume is 12.4 Å³/atom. As for the density of states at the Fermi level: 2.0 states/eV/cell. The calculation puts the magnetization at 4.213 μB/cell. The density is 6.1 g cm⁻³. The calculation puts the total DFT energy (no corrections) at -15.01 eV per atom.

A plane-wave DFT calculation with SCAN was carried out for VPd2 at its PBEsol-relaxed geometry.

It has space group Immm (No. 71), with a = 2.696 Å, b = 3.756 Å, c = 8.175 Å, α = 90.00°, β = 90.00° and γ = 90.00°. Symmetry generates all atoms from V at (0.000, 0.000, 0.000) and Pd at (0.000, 0.000, 0.338).

The value obtained for the volume is 13.8 Å³/atom. As for the density of states at the Fermi level: 4.7 states/eV/cell. The calculation puts the magnetization at 0.050 μB/cell. The density is 10.6 g cm⁻³. The calculation puts the total DFT energy (no corrections) at -28.00 eV per atom. The value obtained for the energy relative to the elements is -317 meV/atom.